A relaxed RbGaCo2Br crystal. Source: Alexandria, functional PBE.

Computed properties:
As for the symmetry: P4/mmm. Its formation energy from raw total energies is 0.946 eV/atom. The calculation puts the total energy at -3.0296 eV per atom.

Cell lengths 4.571, 5.886, 4.571 Å; angles 90.00, 90.00, 90.00 degrees
Last column: magnetic moment on the atom in μB.
Sites, in units of the cell vectors:
Br 0.000 0.000 0.000  0.00
Co 0.000 0.000 0.500  0.98
Co 0.500 0.000 0.000  1.23
Ga 0.000 0.500 0.000  -0.07
Rb 0.500 0.500 0.500  -0.03